Below is a geometry-optimized H2PbAu2 structure, with properties calculated at the PBE level.

It has space group I4/mmm (No. 139), with a = 3.984 Å, b = 3.984 Å, c = 9.279 Å, α = 90.00°, β = 90.00° and γ = 90.00°. Symmetry generates all atoms from H at (0.000, 0.500, 0.250), Pb at (0.000, 0.000, 0.000) and Au at (0.000, 0.000, 0.339).

Below is a geometry-optimized TaOsPb3 structure, with properties calculated at the PBE level.

It has space group Pm-3m (No. 221), with a = 5.258 Å, b = 5.258 Å, c = 5.258 Å, α = 90.00°, β = 90.00° and γ = 90.00°. Symmetry generates all atoms from Ta at (0.000, 0.000, 0.000), Os at (0.500, 0.500, 0.500) and Pb at (0.000, 0.500, 0.500).

no.,excess energy over the best structure of this formula in the dataset (kJ per mole of atoms),uncorrected energy (eV/cell)
1,17.07,-30.62
2,0.00,-26.97